(1)
The following is a GGA-PBE calculation of an optimized crystal structure of HfAs, from the Alexandria database.

Output
Energy relative to the elements: -0.26 eV per atom
Size of the total moment: 0.212 μB per atom

abc: 8.268 8.268 8.268
angles: 90.00 90.00 90.00
Site moments in Bohr magnetons follow the coordinates.
Fractional coordinates of all 16 atoms:
Hf: 0.864 0.864 0.864  0.28
Hf: 0.136 0.136 0.864  0.28
Hf: 0.364 0.636 0.636  0.28
Hf: 0.636 0.364 0.636  0.28
Hf: 0.636 0.636 0.364  0.28
Hf: 0.364 0.364 0.364  0.28
Hf: 0.864 0.136 0.136  0.28
Hf: 0.136 0.864 0.136  0.28
As: 0.821 0.179 0.821  -0.01
As: 0.321 0.679 0.321  -0.01
As: 0.679 0.679 0.679  -0.01
As: 0.179 0.821 0.821  -0.01
As: 0.321 0.321 0.679  -0.01
As: 0.679 0.321 0.321  -0.01
As: 0.179 0.179 0.179  -0.01
As: 0.821 0.821 0.179  -0.01

(2)
The following is a GGA-PBE calculation of an optimized crystal structure of HfAs, from the Alexandria database.

Output
Energy relative to the elements: -0.97 eV per atom
Size of the total moment: 0.000 μB per atom

abc: 3.735 3.735 19.850
angles: 90.00 90.00 120.00
Fractional coordinates of all 12 atoms:
Hf: 0.333 0.667 0.862
Hf: 0.000 0.000 0.370
Hf: 0.667 0.333 0.704
Hf: 0.000 0.000 0.195
Hf: 0.667 0.333 0.528
Hf: 0.333 0.667 0.037
As: 0.000 0.000 0.784
As: 0.333 0.667 0.282
As: 0.667 0.333 0.948
As: 0.000 0.000 0.615
As: 0.667 0.333 0.117
As: 0.333 0.667 0.450

(3)
The following is a GGA-PBE calculation of an optimized crystal structure of Hf2As, from the Alexandria database.

Output
Energy relative to the elements: -0.64 eV per atom
Size of the total moment: 0.000 μB per atom

abc: 3.470 7.435 9.386
angles: 90.00 100.65 90.00
Fractional coordinates of all 12 atoms:
Hf: 0.167 0.610 0.335
Hf: 0.669 0.962 0.339
Hf: 0.973 0.480 0.947
Hf: 0.331 0.462 0.661
Hf: 0.594 0.311 0.187
Hf: 0.406 0.811 0.813
Hf: 0.027 0.980 0.053
Hf: 0.833 0.110 0.665
As: 0.557 0.692 0.113
As: 0.216 0.233 0.432
As: 0.443 0.192 0.887
As: 0.784 0.733 0.568

(4)
The following is a GGA-PBE calculation of an optimized crystal structure of HfAs, from the Alexandria database.

Output
Energy relative to the elements: -0.10 eV per atom
Size of the total moment: 0.000 μB per atom

abc: 7.386 7.386 7.386
angles: 90.00 90.00 90.00
Fractional coordinates of all 12 atoms:
As: 0.750 0.500 0.000
As: 0.250 0.500 0.000
As: 0.000 0.750 0.500
As: 0.500 0.000 0.750
As: 0.500 0.000 0.250
As: 0.000 0.250 0.500
Hf: 0.500 0.750 0.000
Hf: 0.750 0.000 0.500
Hf: 0.000 0.500 0.750
Hf: 0.250 0.000 0.500
Hf: 0.000 0.500 0.250
Hf: 0.500 0.250 0.000

(5)
The following is a GGA-PBE calculation of an optimized crystal structure of HfAs, from the Alexandria database.

Output
Energy relative to the elements: -0.97 eV per atom
Size of the total moment: 0.000 μB per atom

abc: 3.795 3.795 6.535
angles: 90.00 90.00 120.00
Fractional coordinates of all 4 atoms:
As: 0.667 0.333 0.750
As: 0.333 0.667 0.250
Hf: 0.000 0.000 0.500
Hf: 0.000 0.000 0.000

(6)
The following is a GGA-PBE calculation of an optimized crystal structure of HfAs, from the Alexandria database.

Output
Energy relative to the elements: -0.54 eV per atom
Size of the total moment: 0.000 μB per atom

abc: 3.768 12.374 6.840
angles: 90.00 90.00 90.00
Fractional coordinates of all 12 atoms:
As: 0.500 0.301 0.187
As: 0.500 0.801 0.687
As: 0.000 0.000 0.277
As: 0.500 0.199 0.687
As: 0.000 0.500 0.777
As: 0.500 0.699 0.187
Hf: 0.000 0.201 0.400
Hf: 0.000 0.299 0.900
Hf: 0.500 0.000 0.553
Hf: 0.000 0.701 0.900
Hf: 0.000 0.799 0.400
Hf: 0.500 0.500 0.053

(7)
The following is a GGA-PBE calculation of an optimized crystal structure of HfAs, from the Alexandria database.

Output
Energy relative to the elements: -0.72 eV per atom
Size of the total moment: 0.000 μB per atom

abc: 7.695 7.695 5.323
angles: 90.00 90.00 120.00
Fractional coordinates of all 12 atoms:
As: 0.078 0.372 0.750
As: 0.922 0.628 0.250
As: 0.628 0.707 0.750
As: 0.372 0.293 0.250
As: 0.707 0.078 0.250
As: 0.293 0.922 0.750
Hf: 0.688 0.076 0.750
Hf: 0.312 0.924 0.250
Hf: 0.924 0.612 0.750
Hf: 0.388 0.312 0.750
Hf: 0.612 0.688 0.250
Hf: 0.076 0.388 0.250

(8)
The following is a GGA-PBE calculation of an optimized crystal structure of Hf3As2, from the Alexandria database.

Output
Energy relative to the elements: -0.91 eV per atom
Size of the total moment: 0.000 μB per atom
Polymorph energy (0 for the lowest one): 0 meV per atom

abc: 3.672 10.125 10.528
angles: 90.00 90.00 90.00
Fractional coordinates of all 20 atoms:
Hf: 0.750 0.795 0.788
Hf: 0.250 0.875 0.044
Hf: 0.250 0.295 0.712
Hf: 0.750 0.125 0.956
Hf: 0.750 0.705 0.288
Hf: 0.750 0.375 0.456
Hf: 0.250 0.205 0.212
Hf: 0.750 0.068 0.626
Hf: 0.250 0.625 0.544
Hf: 0.250 0.932 0.374
Hf: 0.250 0.568 0.874
Hf: 0.750 0.432 0.126
As: 0.250 0.000 0.805
As: 0.250 0.178 0.468
As: 0.750 0.000 0.195
As: 0.250 0.500 0.305
As: 0.250 0.322 0.968
As: 0.750 0.822 0.532
As: 0.750 0.678 0.032
As: 0.750 0.500 0.695